1.
PBE V5Cr2Tc, optimized geometry; calculated total energy = -9.47 eV per atom; V = 13.2 Å³ per atom; ρ = 7.2 g cm⁻³; total magnetic moment = 0.00 μB per formula unit; D(E_F) = 0.948 states/eV/atom
1.0
4.9962 0.0000 0.0000
0.0000 9.8498 0.0000
0.0000 0.0000 4.2839
V Cr Tc
10 4 2
Direct
0.0000 0.0000 0.0000
0.1466 0.2542 0.0000
0.1686 0.6214 0.5000
0.3314 0.1214 0.5000
0.3534 0.7542 0.0000
0.5000 0.5000 0.0000
0.6466 0.2458 0.0000
0.6686 0.8786 0.5000
0.8314 0.3786 0.5000
0.8534 0.7458 0.0000
0.1610 0.8774 0.5000
0.3390 0.3774 0.5000
0.6610 0.6226 0.5000
0.8390 0.1226 0.5000
0.0000 0.5000 0.0000
0.5000 0.0000 0.0000

2.
PBE VCr6Tc2, optimized geometry; calculated total energy = -9.51 eV per atom; V = 12.8 Å³ per atom; ρ = 8.1 g cm⁻³; total magnetic moment = 0.00 μB per formula unit; D(E_F) = 1.046 states/eV/atom
1.0
3.5776 -3.8107 0.0000
3.5776 3.8107 0.0000
-1.0715 0.0000 4.2213
V Cr Tc
1 6 2
Direct
0.0000 0.0000 0.0000
0.1593 0.5046 0.8387
0.1729 0.8271 0.5000
0.4954 0.8407 0.1613
0.5046 0.1593 0.8387
0.8271 0.1729 0.5000
0.8407 0.4954 0.1613
0.3283 0.3283 0.3350
0.6717 0.6717 0.6650

3.
PBE V6CrTc5, optimized geometry; calculated total energy = -10.01 eV per atom; V = 13.6 Å³ per atom; ρ = 8.6 g cm⁻³; total magnetic moment = 0.00 μB per formula unit; D(E_F) = 0.607 states/eV/atom
1.0
-2.1251 3.0130 6.3844
2.1251 -3.0130 6.3844
2.1251 3.0130 -6.3844
V Cr Tc
6 1 5
Direct
0.0829 0.3352 0.7477
0.2459 0.0000 0.2459
0.4125 0.6648 0.7477
0.5875 0.3352 0.2523
0.7541 0.0000 0.7541
0.9171 0.6648 0.2523
0.0000 0.5000 0.5000
0.1659 0.1659 0.0000
0.3332 0.8332 0.5000
0.5000 0.5000 0.0000
0.6668 0.1668 0.5000
0.8341 0.8341 0.0000

4.
PBE V6Cr2Tc, optimized geometry; calculated total energy = -8.78 eV per atom; V = 15.4 Å³ per atom; ρ = 6.1 g cm⁻³; total magnetic moment = 0.00 μB per formula unit; D(E_F) = 1.343 states/eV/atom
1.0
6.4378 -2.8729 0.0000
6.4378 2.8729 0.0000
-1.1923 0.0000 3.7490
V Cr Tc
6 2 1
Direct
0.0744 0.5862 0.3304
0.2384 0.7616 0.0000
0.4138 0.9256 0.6696
0.5862 0.0744 0.3304
0.7616 0.2384 0.0000
0.9256 0.4138 0.6696
0.1671 0.1671 0.1670
0.8329 0.8329 0.8330
0.5000 0.5000 0.5000